# Ta12Mn5W3 (GGA-PBE, optimized geometry)
# - SG: No. 230
# - Total magnetization: 11.12 μB per cell
# - N(E_F): 123.21 states/eV per cell
# - Calculated formation energy: 1149 meV/atom
data_Ta12Mn5W3
_space_group_name_H-M_alt 'P 1'
_space_group_IT_number 1
_space_group_name_Hall 'P 1'
_cell_length_a 12.7090
_cell_length_b 12.7090
_cell_length_c 12.7090
_cell_angle_alpha 109.47
_cell_angle_beta 109.47
_cell_angle_gamma 109.47
loop_
_atom_site_label
_atom_site_fract_x
_atom_site_fract_y
_atom_site_fract_z
_atom_site_occupancy
Ta1 0.0466 0.2165 0.1199 1
Ta2 0.0466 0.3301 0.9266 1
Ta3 0.0734 0.6199 0.4035 1
Ta4 0.0734 0.9534 0.6699 1
Ta5 0.0965 0.7165 0.6699 1
Ta6 0.0965 0.8801 0.4266 1
Ta7 0.1199 0.0466 0.2165 1
Ta8 0.1199 0.5734 0.9035 1
Ta9 0.1699 0.2165 0.5965 1
Ta10 0.1699 0.4534 0.5734 1
Ta11 0.2165 0.1199 0.0466 1
Ta12 0.2165 0.5965 0.1699 1
Ta13 0.2835 0.3301 0.9035 1
Ta14 0.2835 0.4534 0.3801 1
Ta15 0.3301 0.9035 0.2835 1
Ta16 0.3301 0.9266 0.0466 1
Ta17 0.3801 0.2835 0.4534 1
Ta18 0.3801 0.5965 0.9266 1
Ta19 0.4035 0.0734 0.6199 1
Ta20 0.4035 0.8301 0.7835 1
Ta21 0.4266 0.0965 0.8801 1
Ta22 0.4266 0.8301 0.5466 1
Ta23 0.4534 0.3801 0.2835 1
Ta24 0.4534 0.5734 0.1699 1
Ta25 0.5466 0.4266 0.8301 1
Ta26 0.5466 0.6199 0.7165 1
Ta27 0.5734 0.1699 0.4534 1
Ta28 0.5734 0.9035 0.1199 1
Ta29 0.5965 0.1699 0.2165 1
Ta30 0.5965 0.9266 0.3801 1
Ta31 0.6199 0.4035 0.0734 1
Ta32 0.6199 0.7165 0.5466 1
Ta33 0.6699 0.0734 0.9534 1
Ta34 0.6699 0.0965 0.7165 1
Ta35 0.7165 0.5466 0.6199 1
Ta36 0.7165 0.6699 0.0965 1
Ta37 0.7835 0.4035 0.8301 1
Ta38 0.7835 0.8801 0.9534 1
Ta39 0.8301 0.5466 0.4266 1
Ta40 0.8301 0.7835 0.4035 1
Ta41 0.8801 0.4266 0.0965 1
Ta42 0.8801 0.9534 0.7835 1
Ta43 0.9035 0.1199 0.5734 1
Ta44 0.9035 0.2835 0.3301 1
Ta45 0.9266 0.0466 0.3301 1
Ta46 0.9266 0.3801 0.5965 1
Ta47 0.9534 0.6699 0.0734 1
Ta48 0.9534 0.7835 0.8801 1
Mn1 0.0000 0.0000 0.0000 1
Mn2 0.0000 0.0000 0.5000 1
Mn3 0.0000 0.5000 0.0000 1
Mn4 0.0000 0.5000 0.5000 1
Mn5 0.1250 0.7500 0.8750 1
Mn6 0.1250 0.8750 0.2500 1
Mn7 0.2500 0.1250 0.8750 1
Mn8 0.2500 0.6250 0.3750 1
Mn9 0.3750 0.2500 0.6250 1
Mn10 0.3750 0.6250 0.7500 1
Mn11 0.5000 0.0000 0.0000 1
Mn12 0.5000 0.0000 0.5000 1
Mn13 0.5000 0.5000 0.0000 1
Mn14 0.5000 0.5000 0.5000 1
Mn15 0.6250 0.3750 0.2500 1
Mn16 0.6250 0.7500 0.3750 1
Mn17 0.7500 0.3750 0.6250 1
Mn18 0.7500 0.8750 0.1250 1
Mn19 0.8750 0.1250 0.7500 1
Mn20 0.8750 0.2500 0.1250 1
W1 0.1250 0.2500 0.3750 1
W2 0.1250 0.3750 0.7500 1
W3 0.2500 0.3750 0.1250 1
W4 0.2500 0.8750 0.6250 1
W5 0.3750 0.1250 0.2500 1
W6 0.3750 0.7500 0.1250 1
W7 0.6250 0.2500 0.8750 1
W8 0.6250 0.8750 0.7500 1
W9 0.7500 0.1250 0.3750 1
W10 0.7500 0.6250 0.8750 1
W11 0.8750 0.6250 0.2500 1
W12 0.8750 0.7500 0.6250 1